Record 1
Density functional theory data (PBE-GGA) for SmAl2Au after structural relaxation.

Summary:
E_form = -0.618 eV/atom
Size of the total moment = 0.00 μB/f.u.

Unit cell a=5.764 b=6.867 c=16.527 alpha=90.00 beta=90.00 gamma=90.00
Element x y z (fractional)
Al 0.954 0.057 0.217
Al 0.722 0.551 0.030
Al 0.722 0.949 0.030
Al 0.454 0.943 0.283
Al 0.046 0.943 0.783
Al 0.546 0.443 0.717
Al 0.954 0.443 0.217
Al 0.222 0.449 0.470
Al 0.778 0.949 0.530
Al 0.046 0.557 0.783
Al 0.222 0.051 0.470
Al 0.454 0.557 0.283
Al 0.546 0.057 0.717
Al 0.278 0.051 0.970
Al 0.278 0.449 0.970
Al 0.778 0.551 0.530
Au 0.212 0.250 0.330
Au 0.011 0.750 0.927
Au 0.511 0.250 0.573
Au 0.288 0.250 0.830
Au 0.989 0.250 0.073
Au 0.788 0.750 0.670
Au 0.712 0.750 0.170
Au 0.489 0.750 0.427
Sm 0.474 0.250 0.146
Sm 0.026 0.250 0.646
Sm 0.720 0.250 0.391
Sm 0.526 0.750 0.854
Sm 0.280 0.750 0.609
Sm 0.974 0.750 0.354
Sm 0.220 0.750 0.109
Sm 0.780 0.250 0.891


Record 2
Density functional theory data (PBE-GGA) for Cs4ICl3 after structural relaxation.

Summary:
Energy relative to the elements, uncorrected = -1.85 eV per atom
Size of the total moment = 0.15 μB/f.u.
Energy relative to the lowest polymorph listed for this composition = 0.00 kcal/mol of atoms

Unit cell a=5.084 b=8.970 c=8.970 alpha=108.97 beta=90.00 gamma=90.00
Each line ends with the local moment (μB).
Element x y z (fractional)
Cs 0.500 0.742 0.258  0.00
Cs 0.000 0.730 0.730  0.00
Cs 0.000 0.270 0.270  0.00
Cs 0.500 0.258 0.742  0.00
Cl 0.000 0.000 0.500  0.00
Cl 0.000 0.500 0.000  0.00
Cl 0.500 0.500 0.500  0.00
I 0.500 0.000 0.000  0.08


Record 3
Density functional theory data (PBE-GGA) for SbTeS2 after structural relaxation.

Summary:
Energy relative to the elements, uncorrected = 0.28 eV per atom
Size of the total moment = 0.00 μB/f.u.
Energy relative to the lowest polymorph listed for this composition = 5.74 kcal/mol of atoms

Unit cell a=9.288 b=9.288 c=9.288 alpha=22.49 beta=22.49 gamma=22.49
Element x y z (fractional)
S 0.901 0.901 0.901
S 0.099 0.099 0.099
Sb 0.000 0.000 0.000
Te 0.500 0.500 0.500


Record 4
Density functional theory data (PBE-GGA) for La2Er4Tl after structural relaxation.

Summary:
E_form = 0.003 eV/atom
Size of the total moment = 0.00 μB/f.u.

Unit cell a=5.984 b=6.639 c=11.590 alpha=90.00 beta=106.29 gamma=90.00
Element x y z (fractional)
La 0.413 0.250 0.977
La 0.587 0.750 0.023
La 0.275 0.250 0.430
La 0.725 0.750 0.570
Er 0.369 0.992 0.713
Er 0.995 0.750 0.871
Er 0.134 0.750 0.431
Er 0.005 0.250 0.129
Er 0.631 0.492 0.287
Er 0.369 0.508 0.713
Er 0.631 0.008 0.287
Er 0.866 0.250 0.569
Tl 0.153 0.750 0.163
Tl 0.847 0.250 0.837


Record 5
Density functional theory data (PBE-GGA) for HoTmPdPt after structural relaxation.

Summary:
E_form = -1.135 eV/atom
Size of the total moment = 0.00 μB/f.u.
Energy relative to the lowest polymorph listed for this composition = 0.00 kcal/mol of atoms

Unit cell a=3.728 b=4.476 c=5.545 alpha=90.00 beta=109.64 gamma=90.00
Element x y z (fractional)
Pt 0.587 0.500 0.174
Tm 0.863 0.500 0.725
Pd 0.412 0.000 0.824
Ho 0.138 0.000 0.277


Record 6
Density functional theory data (PBE-GGA) for MnNi2As after structural relaxation.

Summary:
E_form = -0.123 eV/atom
Size of the total moment = 3.96 μB/f.u.

Unit cell a=4.530 b=4.530 c=3.632 alpha=66.34 beta=66.34 gamma=47.53
Each line ends with the local moment (μB).
Element x y z (fractional)
Mn 0.251 0.251 0.249  3.15
Ni 0.000 0.000 0.000  0.40
Ni 0.749 0.749 0.751  0.39
As 0.501 0.501 0.499  -0.03


Record 7
Density functional theory data (PBE-GGA) for TiIrBr2 after structural relaxation.

Summary:
Energy relative to the elements, uncorrected = 0.25 eV per atom
Size of the total moment = 0.89 μB/f.u.
Energy relative to the lowest polymorph listed for this composition = 3.73 kcal/mol of atoms

Unit cell a=4.466 b=4.466 c=8.696 alpha=75.12 beta=75.12 gamma=90.00
Each line ends with the local moment (μB).
Element x y z (fractional)
Br 0.625 0.125 0.250  -0.03
Br 0.375 0.375 0.750  -0.03
Br 0.125 0.625 0.250  -0.03
Br 0.875 0.875 0.750  -0.02
Ti 0.500 0.500 0.000  0.85
Ti 0.250 0.750 0.500  0.85
Ir 0.000 0.000 0.000  -0.12
Ir 0.750 0.250 0.500  -0.12


Record 8
Density functional theory data (PBE-GGA) for CaCoTe after structural relaxation.

Summary:
Energy relative to the elements, uncorrected = -0.56 eV per atom
Size of the total moment = 0.63 μB/f.u.
Energy relative to the lowest polymorph listed for this composition = 0.00 kcal/mol of atoms

Unit cell a=4.269 b=4.269 c=4.309 alpha=90.00 beta=90.00 gamma=120.00
Each line ends with the local moment (μB).
Element x y z (fractional)
Te 0.667 0.333 0.500  0.02
Co 0.333 0.667 0.500  0.71
Ca 0.000 0.000 0.000  -0.02


Record 9
Density functional theory data (PBE-GGA) for PmFe2Si3 after structural relaxation.

Summary:
Energy relative to the elements, uncorrected = -0.59 eV per atom
Size of the total moment = 0.00 μB/f.u.

Unit cell a=5.178 b=5.966 c=5.966 alpha=105.40 beta=90.00 gamma=90.00
Element x y z (fractional)
Fe 0.000 0.803 0.197
Fe 0.000 0.197 0.803
Fe 0.500 0.803 0.197
Fe 0.500 0.197 0.803
Pm 0.250 0.341 0.341
Pm 0.750 0.659 0.659
Si 0.250 0.523 0.908
Si 0.750 0.477 0.092
Si 0.250 0.932 0.932
Si 0.750 0.092 0.477
Si 0.250 0.908 0.523
Si 0.750 0.068 0.068


Record 10
Density functional theory data (PBE-GGA) for ReTe2Br after structural relaxation.

Summary:
Energy relative to the elements, uncorrected = -0.04 eV per atom
Size of the total moment = 0.00 μB/f.u.
Energy relative to the lowest polymorph listed for this composition = 0.00 kcal/mol of atoms

Unit cell a=3.493 b=6.391 c=9.718 alpha=70.45 beta=90.00 gamma=90.00
Element x y z (fractional)
Re 0.271 0.914 0.631
Re 0.771 0.294 0.601
Te 0.771 0.928 0.840
Te 0.271 0.456 0.767
Te 0.271 0.280 0.392
Te 0.771 0.751 0.465
Br 0.271 0.815 0.194
Br 0.771 0.392 0.038


Record 11
Density functional theory data (PBE-GGA) for LiRu2Cl after structural relaxation.

Summary:
Energy relative to the elements, uncorrected = 0.04 eV per atom
Size of the total moment = 0.00 μB/f.u.
Energy relative to the lowest polymorph listed for this composition = 2.20 kcal/mol of atoms

Unit cell a=8.341 b=8.341 c=8.341 alpha=20.03 beta=20.03 gamma=20.03
Element x y z (fractional)
Ru 0.250 0.250 0.250
Ru 0.995 0.995 0.995
Li 0.761 0.761 0.761
Cl 0.493 0.493 0.493


Record 12
Density functional theory data (PBE-GGA) for Mg2HOs after structural relaxation.

Summary:
Size of the total moment = 0.00 μB/f.u.
Energy relative to the lowest polymorph listed for this composition = 1.44 kcal/mol of atoms

Unit cell a=5.413 b=5.426 c=5.467 alpha=85.05 beta=60.36 gamma=61.08
Element x y z (fractional)
H 0.059 0.981 0.142
H 0.810 0.327 0.672
Os 0.628 0.103 0.361
Os 0.159 0.107 0.367
Mg 0.058 0.290 0.892
Mg 0.547 0.633 0.510
Mg 0.219 0.580 0.238
Mg 0.734 0.969 0.830


Record 13
Density functional theory data (PBE-GGA) for GeMoN3 after structural relaxation.

Summary:
Energy relative to the elements, uncorrected = 0.70 eV per atom
Size of the total moment = 0.00 μB/f.u.

Unit cell a=3.965 b=3.965 c=3.965 alpha=90.00 beta=90.00 gamma=90.00
Element x y z (fractional)
N 0.000 0.500 0.000
N 0.500 0.000 0.000
N 0.000 0.000 0.500
Mo 0.000 0.000 0.000
Ge 0.500 0.500 0.500


Record 14
Density functional theory data (PBE-GGA) for KCo2As after structural relaxation.

Summary:
E_form = 0.501 eV/atom
Size of the total moment = 1.43 μB/f.u.

Unit cell a=2.991 b=2.991 c=7.957 alpha=90.00 beta=90.00 gamma=90.00
Each line ends with the local moment (μB).
Element x y z (fractional)
Co 0.000 0.000 0.594  0.74
Co 0.000 0.000 0.906  0.74
K 0.500 0.500 0.250  0.00
As 0.500 0.500 0.750  -0.03


Record 15
Density functional theory data (PBE-GGA) for Ca2LaCdRu after structural relaxation.

Summary:
E_form = -0.089 eV/atom
Size of the total moment = 0.00 μB/f.u.

Unit cell a=5.617 b=5.207 c=5.617 alpha=90.00 beta=90.00 gamma=90.00
Element x y z (fractional)
Ca 0.500 0.000 0.000
Ca 0.000 0.000 0.500
La 0.000 0.500 0.000
Cd 0.500 0.500 0.500
Ru 0.000 0.000 0.000


Record 16
Density functional theory data (PBE-GGA) for Ba2TaAu after structural relaxation.

Summary:
E_form = 0.695 eV/atom
Size of the total moment = 4.02 μB/f.u.
Energy relative to the lowest polymorph listed for this composition = 11.19 kcal/mol of atoms

Unit cell a=5.769 b=5.769 c=5.769 alpha=60.00 beta=60.00 gamma=60.00
Each line ends with the local moment (μB).
Element x y z (fractional)
Ta 0.000 0.000 0.000  2.12
Au 0.500 0.500 0.500  0.04
Ba 0.750 0.750 0.750  0.15
Ba 0.250 0.250 0.250  0.15


Record 17
Density functional theory data (PBE-GGA) for Li2CaMg2 after structural relaxation.

Summary:
E_form = -0.039 eV/atom
Size of the total moment = 0.00 μB/f.u.
Energy relative to the lowest polymorph listed for this composition = 0.00 kcal/mol of atoms

Unit cell a=8.407 b=8.407 c=3.459 alpha=90.00 beta=90.00 gamma=90.00
Element x y z (fractional)
Ca 0.500 0.500 0.000
Ca 0.000 0.000 0.000
Li 0.627 0.127 0.000
Li 0.373 0.873 0.000
Li 0.127 0.373 0.000
Li 0.873 0.627 0.000
Mg 0.334 0.166 0.500
Mg 0.834 0.334 0.500
Mg 0.166 0.666 0.500
Mg 0.666 0.834 0.500


Record 18
Density functional theory data (PBE-GGA) for CaSi2W after structural relaxation.

Summary:
Energy relative to the elements, uncorrected = 0.30 eV per atom
Size of the total moment = 1.22 μB/f.u.
Energy relative to the lowest polymorph listed for this composition = 10.22 kcal/mol of atoms

Unit cell a=4.584 b=4.584 c=4.584 alpha=60.00 beta=60.00 gamma=60.00
Each line ends with the local moment (μB).
Element x y z (fractional)
Si 0.250 0.250 0.250  0.00
Si 0.750 0.750 0.750  0.00
Ca 0.000 0.000 0.000  0.04
W 0.500 0.500 0.500  0.81


Record 19
Density functional theory data (PBE-GGA) for Pm4TmS7 after structural relaxation.

Summary:
Energy relative to the elements, uncorrected = -2.07 eV per atom
Size of the total moment = 0.00 μB/f.u.

Unit cell a=3.897 b=6.851 c=11.800 alpha=104.47 beta=90.00 gamma=106.52
Element x y z (fractional)
Pm 0.999 0.998 0.997
Pm 0.301 0.602 0.192
Pm 0.112 0.223 0.425
Pm 0.698 0.397 0.807
Tm 0.888 0.776 0.578
S 0.660 0.319 0.051
S 0.038 0.076 0.778
S 0.338 0.677 0.948
S 0.495 0.990 0.504
S 0.744 0.487 0.358
S 0.959 0.919 0.215
S 0.268 0.536 0.647


Record 20
Density functional theory data (PBE-GGA) for TaHgS3 after structural relaxation.

Summary:
Energy relative to the elements, uncorrected = -0.51 eV per atom
Size of the total moment = 0.00 μB/f.u.
Energy relative to the lowest polymorph listed for this composition = 0.00 kcal/mol of atoms

Unit cell a=4.881 b=6.578 c=10.469 alpha=118.09 beta=112.79 gamma=66.54
Element x y z (fractional)
S 0.467 0.365 0.607
S 0.195 0.217 0.746
S 0.836 0.764 0.712
S 0.901 0.935 0.448
S 0.173 0.082 0.308
S 0.532 0.535 0.342
Ta 0.887 0.358 0.510
Ta 0.481 0.942 0.545
Hg 0.515 0.500 0.928
Hg 0.853 0.800 0.127